[1]
This record from OQMD describes crystalline ZnAgIr2 at its relaxed geometry. The functional is PBE-GGA.

- Space group: F-43m
- Formation energy: 0.300 eV per atom
- E: -20.6 eV per cell

Structure (POSCAR):
```
ZnAgIr2
1.0
0.000 3.129 3.129
3.129 0.000 3.129
3.129 3.129 0.000
Zn Ag Ir
1 1 2
direct
0.000 0.000 0.000
0.750 0.750 0.750
0.250 0.250 0.250
0.500 0.500 0.500
```

[2]
This record from OQMD describes crystalline U2ReB6 at its relaxed geometry. The functional is PBE-GGA.

- Space group: Pbam
- E: -320.6 eV per cell

Structure (POSCAR):
```
U2ReB6
1.0
9.263 0.000 0.000
0.000 11.347 0.000
0.000 0.000 3.636
U Re B
8 4 24
direct
0.044 0.105 0.000
0.164 0.407 0.000
0.336 0.907 0.000
0.456 0.605 0.000
0.544 0.395 0.000
0.664 0.093 0.000
0.836 0.593 0.000
0.956 0.895 0.000
0.144 0.680 0.000
0.356 0.180 0.000
0.644 0.820 0.000
0.856 0.320 0.000
0.015 0.281 0.500
0.050 0.567 0.500
0.143 0.961 0.500
0.144 0.812 0.500
0.197 0.227 0.500
0.243 0.576 0.500
0.257 0.076 0.500
0.303 0.727 0.500
0.356 0.312 0.500
0.357 0.461 0.500
0.450 0.067 0.500
0.485 0.781 0.500
0.515 0.219 0.500
0.550 0.933 0.500
0.643 0.539 0.500
0.644 0.688 0.500
0.697 0.273 0.500
0.743 0.924 0.500
0.757 0.424 0.500
0.803 0.773 0.500
0.856 0.188 0.500
0.857 0.039 0.500
0.950 0.433 0.500
0.985 0.719 0.500
```